[1]
Mn5TePd6 | the Alexandria database | GGA-PBE | optimized geometry; magnetization = 1.862 μB/atom; volume = 191.0 Å³/cell; E_form (uncorrected) = -0.181 eV per atom
1.0
-3.9923 -0.6732 1.1100
2.2330 -3.7112 5.7796
0.9272 7.5022 -0.0535
Te Pd Mn
1 6 5
direct
0.0000 0.0000 0.0000
0.5000 0.7265 0.0000
0.1700 0.9084 0.3400
0.5000 0.2735 0.0000
0.8300 0.0916 0.6600
0.1700 0.4316 0.3400
0.8300 0.5684 0.6600
0.6674 0.1674 0.3349
0.6708 0.6708 0.3416
0.3326 0.8326 0.6651
0.0000 0.5000 0.0000
0.3292 0.3292 0.6584


[2]
La3BiIrN | the Alexandria database | GGA-PBE | optimized geometry; magnetization = 0.000 μB/atom; volume = 368.9 Å³/cell; E_form (uncorrected) = -0.948 eV per atom
1.0
-1.5867 0.0380 -4.0767
-6.2991 -5.8605 2.3971
-4.1004 8.6608 1.6767
La Ir Bi N
6 2 2 2
direct
0.2500 0.5599 0.8558
0.7500 0.8900 0.1573
0.7500 0.4401 0.1442
0.2500 0.1100 0.8427
0.2500 0.8343 0.4735
0.7500 0.1657 0.5265
0.2500 0.6619 0.1466
0.7500 0.3381 0.8534
0.7500 0.8000 0.7654
0.2500 0.2000 0.2346
0.7500 0.9130 0.3957
0.2500 0.0870 0.6043


[3]
LiLaLuTc | the Alexandria database | GGA-PBE | optimized geometry; formation energy = 0.010 eV/atom; magnetization = 0.000 μB/atom; volume = 88.0 Å³/cell
1.0
-0.7771 0.1574 -4.9291
0.4047 -4.1635 -2.7251
-4.0807 -2.1119 -1.9524
Tc La Lu Li
1 1 1 1
direct
0.5000 0.5000 0.5000
0.2500 0.2500 0.2500
0.7500 0.7500 0.7500
0.0000 0.0000 0.0000


[4]
Er3Al9Ni2 | the Alexandria database | GGA-PBE | optimized geometry; formation energy = -0.509 eV/atom; magnetization = 0.000 μB/atom; volume = 250.4 Å³/cell
1.0
-0.7318 -2.7526 3.1076
-2.4269 -6.7465 -3.6883
6.4738 -4.8044 0.1280
Er Al Ni
3 9 2
direct
0.3099 0.6901 0.6901
0.6901 0.3099 0.3099
0.0000 0.0000 0.0000
0.6545 0.9795 0.7116
0.0000 0.5000 0.5000
0.3455 0.0205 0.2884
0.8767 0.4055 0.8411
0.1233 0.1589 0.5945
0.6545 0.7116 0.9795
0.3455 0.2884 0.0205
0.8767 0.8411 0.4055
0.1233 0.5945 0.1589
0.5000 0.2975 0.7025
0.5000 0.7025 0.2975


[5]
LiFeCo | the Alexandria database | GGA-PBE | optimized geometry; formation energy = 0.719 eV/atom; excess energy over the best structure of this formula in the dataset = 0.594 eV/atom; magnetization = 0.000 μB/atom; volume = 36.5 Å³/cell
1.0
0.0000 2.6323 2.6323
2.6323 0.0000 2.6323
2.6323 2.6323 0.0000
Co Li Fe
1 1 1
direct
0.5000 0.5000 0.5000
0.2500 0.2500 0.2500
0.7500 0.7500 0.7500


[6]
SrRu2N2 | the Alexandria database | GGA-PBE | optimized geometry; excess energy over the best structure of this formula in the dataset = 0.000 eV/atom; magnetization = 0.000 μB/atom; volume = 74.0 Å³/cell; E_form (uncorrected) = 0.037 eV per atom
1.0
-1.9803 2.8123 1.3792
-3.0864 -1.4733 -1.4272
-3.3112 -2.1107 4.5282
N Ru Sr
2 2 1
direct
0.6551 0.6551 0.6897
0.3449 0.3449 0.3103
0.7500 0.2500 0.5000
0.2500 0.7500 0.5000
0.0000 0.0000 0.0000


[7]
Y2PBr | the Alexandria database | GGA-PBE | optimized geometry; magnetization = 0.000 μB/atom; volume = 98.8 Å³/cell; E_form (uncorrected) = -1.049 eV per atom
1.0
-2.3674 -2.5850 0.7770
1.9110 0.7635 2.9421
-5.4554 5.6226 2.0845
Y P Br
2 1 1
direct
0.0000 0.0000 0.9636
0.0000 0.0000 0.5364
0.5000 0.5000 0.7500
0.5000 0.5000 0.2500


[8]
Th4Sb2Os | the Alexandria database | GGA-PBE | optimized geometry; magnetization = 0.000 μB/atom; volume = 416.0 Å³/cell; E_form (uncorrected) = -0.489 eV per atom
1.0
-5.3602 -2.9958 -2.9829
-2.8652 -0.7806 5.9328
-1.4246 9.6634 0.5835
Os Sb Th
2 4 8
direct
0.1609 0.7500 0.1705
0.8391 0.2500 0.8295
0.7211 0.7500 0.5428
0.2660 0.2500 0.9307
0.7340 0.7500 0.0693
0.2789 0.2500 0.4572
0.0620 0.7500 0.8740
0.4922 0.4854 0.2405
0.8704 0.2500 0.5676
0.9380 0.2500 0.1260
0.5078 0.5146 0.7595
0.4922 0.0146 0.2405
0.1296 0.7500 0.4324
0.5078 0.9854 0.7595